Bi2IrW | Alexandria | PBE | relaxed; E above lowest polymorph = 0.508 eV per atom; space-group type = I-42d; DOS at the Fermi energy = 3.53 states/eV/f.u.; formation energy = 1.390 eV per atom
1.0
6.1760 0.0000 0.0000
0.0000 6.1760 0.0000
3.0880 3.0880 6.4037
Bi W Ir
4 2 2
Direct
0.8750 0.8888 0.7500
0.3750 0.3612 0.7500
0.1112 0.6250 0.2500
0.6388 0.1250 0.2500
0.2500 0.7500 0.5000
0.5000 0.5000 0.0000
0.7500 0.2500 0.5000
0.0000 0.0000 0.0000

---

PPdCl2 | Alexandria | PBE | relaxed; E above lowest polymorph = 0.095 eV per atom; E_form (uncorrected) = 0.350 eV per atom; space-group type = R-3m; DOS at the Fermi energy = 2.41 states/eV/f.u.
1.0
1.8233 0.0000 8.6516
-0.9116 1.5790 8.6516
-0.9116 -1.5790 8.6516
Cl Pd P
2 1 1
Direct
0.9114 0.9114 0.9114
0.0886 0.0886 0.0886
0.0000 0.0000 0.0000
0.5000 0.5000 0.5000

---

Pm4Er2Pb3O2 | Alexandria | PBE | relaxed; E_form (uncorrected) = -1.350 eV per atom; space-group type = I4/mmm; DOS at the Fermi energy = 4.27 states/eV/f.u.
1.0
4.7923 0.0000 0.0000
0.0000 4.7923 0.0000
-2.3962 -2.3962 12.7704
Pm O Pb Er
4 2 3 2
Direct
0.4153 0.9153 0.8306
0.5847 0.0847 0.1694
0.0847 0.5847 0.1694
0.9153 0.4153 0.8306
0.6062 0.6062 0.2124
0.3938 0.3938 0.7876
0.8179 0.8179 0.6358
0.1821 0.1821 0.3642
0.0000 0.0000 0.0000
0.6932 0.6932 0.3863
0.3068 0.3068 0.6137

---

Tb5Y4Sc2 | Alexandria | PBE | relaxed; E above lowest polymorph = 0.000 eV per atom; space-group type = P-1; DOS at the Fermi energy = 17.04 states/eV/f.u.; formation energy = 0.104 eV per atom
1.0
3.2238 -0.4473 -1.4155
-0.8558 8.5699 -0.2010
-1.6792 1.5680 13.5004
Y Tb Sc
4 5 2
Direct
0.0542 0.3422 0.9418
0.9358 0.6976 0.7933
0.0642 0.3024 0.2067
0.9458 0.6578 0.0582
0.9035 0.6999 0.5260
0.0965 0.3001 0.4740
0.5245 0.9524 0.2737
0.5000 0.0000 0.0000
0.4755 0.0476 0.7263
0.8981 0.6105 0.2959
0.1019 0.3895 0.7041

---

Cs2HgPdI | Alexandria | PBE | relaxed; E_form (uncorrected) = -0.622 eV per atom; space-group type = P4/mmm; DOS at the Fermi energy = 1.04 states/eV/f.u.
1.0
-0.1287 3.2762 -5.7701
3.9901 -4.5729 -2.6854
-4.2422 -2.8176 -1.5052
Cs Pd I Hg
2 1 1 1
Direct
0.0000 0.5000 0.0000
0.5000 0.0000 0.0000
0.0000 0.0000 0.0000
0.5000 0.5000 0.5000
0.0000 0.0000 0.5000

---

RbHfFeW2 | Alexandria | PBE | relaxed; space-group type = P4/mmm; DOS at the Fermi energy = 8.58 states/eV/f.u.; formation energy = 3.144 eV per atom
1.0
4.7912 0.0000 0.0000
0.0000 4.2622 0.0000
0.0000 0.0000 4.7912
W Fe Hf Rb
2 1 1 1
Direct
0.0000 0.0000 0.5000
0.5000 0.0000 0.0000
0.0000 0.5000 0.0000
0.5000 0.5000 0.5000
0.0000 0.0000 0.0000